An optimized crystal structure of Mo2P2O11, computed with GGA+U.

Geometry as POSCAR:
```
Mo2P2O11
1.0
-5.896 0.435 2.547
-1.876 -6.809 -3.177
2.239 -6.261 6.252
O P Mo
22 4 4
direct
0.440 0.628 0.298
0.250 0.625 0.660
0.250 0.105 0.748
0.556 0.182 0.121
0.250 0.391 0.209
0.060 0.628 0.298
0.750 0.895 0.252
0.750 0.375 0.340
0.250 0.981 0.038
0.056 0.818 0.879
0.940 0.372 0.702
0.250 0.375 0.488
0.944 0.182 0.121
0.444 0.818 0.879
0.750 0.976 0.676
0.250 0.024 0.324
0.750 0.625 0.512
0.750 0.019 0.962
0.750 0.650 0.082
0.750 0.609 0.791
0.250 0.350 0.918
0.560 0.372 0.702
0.250 0.939 0.879
0.750 0.061 0.121
0.250 0.504 0.331
0.750 0.496 0.669
0.250 0.170 0.149
0.750 0.604 0.285
0.250 0.396 0.715
0.750 0.830 0.851
```

Values from the calculation:
ρ = 3.25 Mg/m³
ΔE to the lowest computed polymorph = 0 meV/atom
Electronic total energy = -7.130 eV/atom
Spin magnetization = 0.00 μB per atom
SG = No. 11